Record 1
Compound: YH8Rh6
Source: Alexandria
Functional: PBE
Structure: optimized geometry

a b c (Å): 5.2013 5.2013 5.2013
angles (deg): 99.61 99.61 99.61
With the nearest neighbours (Å) after each atom.
Positions (direct):
Y1 0.0000 0.0000 0.0000  8 H 2.34-2.44
H1 0.1773 0.7973 0.6269  3 Rh 1.80-1.83
H2 0.2027 0.3731 0.8227  3 Rh 1.80-1.83
H3 0.3181 0.3181 0.3181  3 Rh 1.81
H4 0.3731 0.8227 0.2027  3 Rh 1.80-1.83
H5 0.6269 0.1773 0.7973  3 Rh 1.80-1.83
H6 0.6819 0.6819 0.6819  3 Rh 1.81
H7 0.7973 0.6269 0.1773  3 Rh 1.80-1.83
H8 0.8227 0.2027 0.3731  3 Rh 1.80-1.83
Rh1 0.1348 0.5833 0.2983  4 H 1.80-1.83
Rh2 0.2983 0.1348 0.5833  4 H 1.80-1.83
Rh3 0.4167 0.7017 0.8652  4 H 1.80-1.83
Rh4 0.5833 0.2983 0.1348  4 H 1.80-1.83
Rh5 0.7017 0.8652 0.4167  4 H 1.80-1.83
Rh6 0.8652 0.4167 0.7017  4 H 1.80-1.83

Output
space-group type: R-3, No. 148
total moment: 0.00 μB/atom
energy: -5.3400 eV/atom

Record 2
Compound: La2Tb2PmEr2
Source: Alexandria
Functional: PBE
Structure: optimized geometry

a b c (Å): 11.4175 5.1006 8.1133
angles (deg): 90.00 98.10 90.00
With the nearest neighbours (Å) after each atom.
Positions (direct):
La1 0.1421 0.0000 0.4262  5 Er 3.60-3.65, 1 Pm 3.61, 3 La 3.61-3.63, 3 Tb 3.63-3.67
La2 0.3579 0.5000 0.5738  5 Er 3.60-3.65, 1 Pm 3.61, 3 La 3.61-3.63, 3 Tb 3.63-3.67
La3 0.6421 0.5000 0.4262  5 Er 3.60-3.65, 1 Pm 3.61, 3 La 3.61-3.63, 3 Tb 3.63-3.67
La4 0.8579 0.0000 0.5738  5 Er 3.60-3.65, 1 Pm 3.61, 3 La 3.61-3.63, 3 Tb 3.63-3.67
Tb1 0.2160 0.5000 0.1390  2 Tb 3.56, 3 Pm 3.58-3.62, 4 Er 3.58-3.63, 3 La 3.63-3.67
Tb2 0.2840 0.0000 0.8610  2 Tb 3.56, 3 Pm 3.58-3.62, 4 Er 3.58-3.63, 3 La 3.63-3.67
Tb3 0.7160 0.0000 0.1390  2 Tb 3.56, 3 Pm 3.58-3.62, 4 Er 3.58-3.63, 3 La 3.63-3.67
Tb4 0.7840 0.5000 0.8610  2 Tb 3.56, 3 Pm 3.58-3.62, 4 Er 3.58-3.63, 3 La 3.63-3.67
Pm1 0.0000 0.0000 0.0000  6 Tb 3.58-3.62, 4 Er 3.60, 2 La 3.61
Pm2 0.5000 0.5000 0.0000  6 Tb 3.58-3.62, 4 Er 3.60, 2 La 3.61
Er1 0.0709 0.5000 0.7178  4 Tb 3.58-3.63, 2 Pm 3.60, 5 La 3.60-3.65, 1 Er 3.67
Er2 0.4291 0.0000 0.2822  4 Tb 3.58-3.63, 2 Pm 3.60, 5 La 3.60-3.65, 1 Er 3.67
Er3 0.5709 0.0000 0.7178  4 Tb 3.58-3.63, 2 Pm 3.60, 5 La 3.60-3.65, 1 Er 3.67
Er4 0.9291 0.5000 0.2822  4 Tb 3.58-3.63, 2 Pm 3.60, 5 La 3.60-3.65, 1 Er 3.67

Output
energy of formation: 0.029 eV/atom
space-group type: C2/m, No. 12
total moment: 0.00 μB/atom
energy: -4.6845 eV/atom

Record 3
Compound: LaTb12Sc2
Source: Alexandria
Functional: PBE
Structure: optimized geometry

a b c (Å): 27.8455 27.8455 4.8330
angles (deg): 90.00 90.00 172.61
With the nearest neighbours (Å) after each atom.
Positions (direct):
La1 0.0000 0.0000 0.0000  10 Tb 3.57-3.71, 2 La 3.59
Tb1 0.0667 0.9333 0.0000  10 Tb 3.50-3.59, 1 Sc 3.51, 1 La 3.71
Tb2 0.1914 0.8086 0.0000  1 Sc 3.42, 10 Tb 3.46-3.59
Tb3 0.2761 0.7239 0.5000  9 Tb 3.41-3.59
Tb4 0.3392 0.6608 0.5000  8 Tb 3.42-3.59, 4 Sc 3.47
Tb5 0.4007 0.5993 0.5000  8 Tb 3.42-3.59, 4 Sc 3.46
Tb6 0.4654 0.5346 0.5000  8 Tb 3.50-3.85, 4 La 3.57
Tb7 0.5346 0.4654 0.5000  8 Tb 3.50-3.85, 4 La 3.57
Tb8 0.5993 0.4007 0.5000  8 Tb 3.42-3.59, 4 Sc 3.46
Tb9 0.6608 0.3392 0.5000  8 Tb 3.42-3.59, 4 Sc 3.47
Tb10 0.7239 0.2761 0.5000  9 Tb 3.41-3.59
Tb11 0.8086 0.1914 0.0000  1 Sc 3.42, 10 Tb 3.46-3.59
Tb12 0.9333 0.0667 0.0000  10 Tb 3.50-3.59, 1 Sc 3.51, 1 La 3.71
Sc1 0.1298 0.8702 0.0000  10 Tb 3.42-3.51, 2 Sc 3.59
Sc2 0.8702 0.1298 0.0000  10 Tb 3.42-3.51, 2 Sc 3.59

Output
energy of formation: 0.118 eV/atom
space-group type: Cmmm, No. 65
total moment: 0.00 μB/atom
energy: -4.7588 eV/atom

Record 4
Compound: La2MnP4Ir3
Source: Alexandria
Functional: PBE
Structure: optimized geometry

a b c (Å): 4.2200 4.2200 9.5131
angles (deg): 90.00 90.00 90.00
With the nearest neighbours (Å) after each atom.
Positions (direct):
La1 0.0000 0.5000 0.2421  8 P 3.12-3.24, 7 Ir 3.22-3.39, 2 Mn 3.24
La2 0.5000 0.0000 0.7579  8 P 3.12-3.24, 7 Ir 3.22-3.39, 2 Mn 3.24
Mn1 0.0000 0.0000 0.5000  4 P 2.42
P1 0.0000 0.0000 0.0000  4 Ir 2.37
P2 0.0000 0.5000 0.6240  2 Mn 2.42, 3 Ir 2.42-2.49
P3 0.5000 0.0000 0.3760  2 Mn 2.42, 3 Ir 2.42-2.49
P4 0.5000 0.5000 0.0000  4 Ir 2.37
Ir1 0.0000 0.5000 0.8858  5 P 2.37-2.49
Ir2 0.5000 0.0000 0.1142  5 P 2.37-2.49
Ir3 0.5000 0.5000 0.5000  4 P 2.42

Output
energy of formation: -0.982 eV/atom
space-group type: P-4m2, No. 115
total moment: 0.00 μB/atom
energy: -7.7062 eV/atom

Record 5
Compound: PS2ClF
Source: Alexandria
Functional: PBE
Structure: optimized geometry

a b c (Å): 4.1224 4.1224 5.3849
angles (deg): 90.00 90.00 90.00
With the nearest neighbours (Å) after each atom.
Positions (direct):
P1 0.0000 0.0000 0.0000  4 Cl 2.91
S1 0.0000 0.5000 0.5000  2 F 2.06
S2 0.5000 0.0000 0.5000  2 F 2.06
Cl1 0.5000 0.5000 0.0000  2 F 2.69, 4 P 2.91
F1 0.5000 0.5000 0.5000  4 S 2.06

Output
ΔE_f (raw): 0.936 eV/atom
space-group type: P4/mmm, No. 123
total moment: 0.00 μB/atom
energy: -2.5402 eV/atom

Record 6
Compound: TlH4N
Source: Alexandria
Functional: PBE
Structure: optimized geometry

a b c (Å): 3.8357 5.0840 6.2233
angles (deg): 90.00 90.00 90.00
With the nearest neighbours (Å) after each atom.
Positions (direct):
Tl1 0.0000 0.0000 0.0000  4 H 2.61
Tl2 0.5000 0.5000 0.0000  4 H 2.61
H1 0.0000 0.5000 0.2840  1 N 1.34
H2 0.0000 0.5000 0.7160  1 N 1.34
H3 0.1678 0.3426 0.5000  1 N 1.03
H4 0.3322 0.8426 0.5000  1 N 1.03
H5 0.5000 0.0000 0.2840  1 N 1.34
H6 0.5000 0.0000 0.7160  1 N 1.34
H7 0.6678 0.1574 0.5000  1 N 1.03
H8 0.8322 0.6574 0.5000  1 N 1.03
N1 0.0000 0.5000 0.5000  2 H 1.03
N2 0.5000 0.0000 0.5000  2 H 1.03

Output
space-group type: Pbam, No. 55
total moment: 0.00 μB/atom
energy: -3.5921 eV/atom

Look up the total moment of the fifth one.
0.00 μB/atom

energy of number 6 (TlH4N)?
-3.5921 eV/atom

total moment of number 1 (YH8Rh6)?
0.00 μB/atom

Which formula does entry 2 have?
La2Tb2PmEr2